{
  "formula": "LiFePH2O5",
  "functional": "GGA+U",
  "state": "optimized geometry",
  "lattice_angstrom": [[4.8802, 0.0045, -0.0023], [-0.0026, 5.4783, -1.2925], [0.0050, -1.8370, 8.8377]],
  "species": ["H", "H", "H", "H", "P", "P", "O", "O", "O", "O", "O", "O", "O", "O", "O", "O", "Li", "Li", "Fe", "Fe"],
  "frac_coords": [[0.0034, 0.6648, 0.1898], [0.5033, 0.8361, 0.8101], [0.6777, 0.9947, 0.7381], [0.1772, 0.5049, 0.2614], [0.0908, 0.3599, 0.7816], [0.5906, 0.1399, 0.2186], [0.2160, 0.2151, 0.8827], [0.1828, 0.6629, 0.2391], [0.2743, 0.1531, 0.2128], [0.7042, 0.8511, 0.1208], [0.7155, 0.2847, 0.1174], [0.2044, 0.6487, 0.8794], [0.7745, 0.3471, 0.7875], [0.7070, 0.2471, 0.3912], [0.2070, 0.2527, 0.6089], [0.6828, 0.8369, 0.7606], [0.5813, 0.4014, 0.6099], [0.0813, 0.0990, 0.3903], [0.4987, 0.5090, 0.0218], [0.9986, 0.9909, 0.9782]],
  "dos_ef_per_ev_cell": 0.00,
  "total_energy_ev_per_atom": -6.24
}